# 1
VASP calculation (meta-GGA SCAN) on a PBEsol-optimized structure of MgTe2Ir.

The space group is P4/mmm (No. 123) and the conventional cell measures 3.358, 3.358 and 7.485 Å, with angles of 90.00, 90.00 and 90.00 degrees. The distinct sites, in fractional coordinates, are Mg at (0.000, 0.000, 0.000), Te at (0.500, 0.500, 0.280) and Ir at (0.000, 0.000, 0.500).

Its density of states at the Fermi level is 3.0 states/eV per cell. The volume is 21.1 A^3/atom. Its raw formation energy is 0.2624 eV per atom. The spin magnetization is 0.00 μB per formula unit. As for the uncorrected energy: -37.381 eV per atom.



# 2
VASP calculation (meta-GGA SCAN) on a PBEsol-optimized structure of MgTlIr2.

The space group is C2/m (No. 12) and the conventional cell measures 5.709, 9.133 and 2.881 Å, with angles of 90.00, 118.64 and 90.00 degrees. The distinct sites, in fractional coordinates, are Mg at (0.000, 0.000, 0.000), Tl at (0.000, 0.500, 0.000) and Ir at (0.250, 0.250, 0.500).

Its density of states at the Fermi level is 3.0 states/eV per cell. The volume is 16.5 A^3/atom. The energy of formation is 0.8 eV per formula unit. The spin magnetization is 0.00 μB per formula unit. As for the uncorrected energy: -54.673 eV per atom.



# 3
VASP calculation (meta-GGA SCAN) on a PBEsol-optimized structure of MgTl2Ir.

The space group is I4/mmm (No. 139) and the conventional cell measures 4.353, 4.353 and 8.079 Å, with angles of 90.00, 90.00 and 90.00 degrees. The distinct sites, in fractional coordinates, are Mg at (0.000, 0.000, 0.000), Tl at (0.000, 0.500, 0.250) and Ir at (0.000, 0.000, 0.500).

Its density of states at the Fermi level is 2.5 states/eV per cell. The volume is 19.1 A^3/atom. The energy of formation is 0.8 eV per formula unit. The spin magnetization is 0.00 μB per formula unit. As for the uncorrected energy: -54.989 eV per atom.



# 4
VASP calculation (meta-GGA SCAN) on a PBEsol-optimized structure of Mg2TlIr.

The space group is P4/mmm (No. 123) and the conventional cell measures 3.185, 3.185 and 7.363 Å, with angles of 90.00, 90.00 and 90.00 degrees. The distinct sites, in fractional coordinates, are Mg at (0.000, 0.000, 0.197), Tl at (0.500, 0.500, 0.500) and Ir at (0.500, 0.500, 0.000).

Its density of states at the Fermi level is 1.4 states/eV per cell. The volume is 18.7 A^3/atom. The energy of formation is -1.3 eV per formula unit. The spin magnetization is 0.00 μB per formula unit. As for the uncorrected energy: -38.672 eV per atom.



# 5
VASP calculation (meta-GGA SCAN) on a PBEsol-optimized structure of Mg2TlIr.

The space group is P4mm (No. 99) and the conventional cell measures 3.500, 3.500 and 5.980 Å, with angles of 90.00, 90.00 and 90.00 degrees. The distinct sites, in fractional coordinates, are Mg at (0.000, 0.000, 0.000), Mg at (0.500, 0.500, 0.275), Tl at (0.000, 0.000, 0.538) and Ir at (0.500, 0.500, 0.805).

Its density of states at the Fermi level is 1.1 states/eV per cell. The volume is 18.3 A^3/atom. The energy of formation is -0.2 eV per formula unit. The spin magnetization is 0.43 μB per formula unit. As for the uncorrected energy: -38.404 eV per atom.



# 6
VASP calculation (meta-GGA SCAN) on a PBEsol-optimized structure of MgTl2Ir.

The space group is P4/mmm (No. 123) and the conventional cell measures 3.188, 3.188 and 8.057 Å, with angles of 90.00, 90.00 and 90.00 degrees. The distinct sites, in fractional coordinates, are Mg at (0.000, 0.000, 0.000), Tl at (0.500, 0.500, 0.278) and Ir at (0.000, 0.000, 0.500).

Its density of states at the Fermi level is 2.0 states/eV per cell. The volume is 20.5 A^3/atom. The energy of formation is 1.3 eV per formula unit. The spin magnetization is 0.00 μB per formula unit. As for the uncorrected energy: -54.865 eV per atom.



# 7
VASP calculation (meta-GGA SCAN) on a PBEsol-optimized structure of Tm2MgIr.

The space group is Fm-3m (No. 225) and the conventional cell measures 6.914, 6.914 and 6.914 Å, with angles of 90.00, 90.00 and 90.00 degrees. The distinct sites, in fractional coordinates, are Tm at (0.250, 0.250, 0.250), Mg at (0.000, 0.000, 0.000) and Ir at (0.000, 0.000, 0.500).

Its density of states at the Fermi level is 10.6 states/eV per cell. The volume is 20.7 A^3/atom. The energy of formation is -2.5 eV per formula unit. The spin magnetization is 0.00 μB per formula unit. As for the uncorrected energy: -45.556 eV per atom.



# 8
VASP calculation (meta-GGA SCAN) on a PBEsol-optimized structure of MgIr2W.

The space group is I-4m2 (No. 119) and the conventional cell measures 3.774, 3.774 and 8.303 Å, with angles of 90.00, 90.00 and 90.00 degrees. The distinct sites, in fractional coordinates, are Mg at (0.000, 0.000, 0.000), Ir at (0.000, 0.000, 0.500), Ir at (0.000, 0.500, 0.250) and W at (0.000, 0.500, 0.750).

Its density of states at the Fermi level is 6.3 states/eV per cell. The volume is 14.8 A^3/atom. The energy of formation is -0.7 eV per formula unit. The spin magnetization is 0.00 μB per formula unit. As for the uncorrected energy: -54.379 eV per atom.



# 9
VASP calculation (meta-GGA SCAN) on a PBEsol-optimized structure of MgIr2W.

The space group is Pmmm (No. 47) and the conventional cell measures 2.816, 3.641 and 5.809 Å, with angles of 90.00, 90.00 and 90.00 degrees. The distinct sites, in fractional coordinates, are Mg at (0.000, 0.000, 0.000), Ir at (0.500, 0.500, 0.257) and W at (0.000, 0.000, 0.500).

Its density of states at the Fermi level is 1.7 states/eV per cell. The volume is 14.9 A^3/atom. The energy of formation is -1.4 eV per formula unit. The spin magnetization is 0.00 μB per formula unit. As for the uncorrected energy: -54.576 eV per atom.



# 10
VASP calculation (meta-GGA SCAN) on a PBEsol-optimized structure of MgIr2W.

The space group is P4/mmm (No. 123) and the conventional cell measures 2.859, 2.859 and 7.297 Å, with angles of 90.00, 90.00 and 90.00 degrees. The distinct sites, in fractional coordinates, are Mg at (0.000, 0.000, 0.000), Ir at (0.500, 0.500, 0.258) and W at (0.000, 0.000, 0.500).

Its density of states at the Fermi level is 1.4 states/eV per cell. The volume is 14.9 A^3/atom. The energy of formation is -1.8 eV per formula unit. The spin magnetization is 0.00 μB per formula unit. As for the uncorrected energy: -54.671 eV per atom.



# 11
VASP calculation (meta-GGA SCAN) on a PBEsol-optimized structure of YMgIr2.

The space group is C2/m (No. 12) and the conventional cell measures 8.919, 3.093 and 5.238 Å, with angles of 90.00, 103.82 and 90.00 degrees. The distinct sites, in fractional coordinates, are Y at (0.000, 0.000, 0.000), Mg at (0.000, 0.500, 0.500) and Ir at (0.245, 0.000, 0.709).

Its density of states at the Fermi level is 3.7 states/eV per cell. The volume is 17.5 A^3/atom. The energy of formation is -1.4 eV per formula unit. The spin magnetization is 0.00 μB per formula unit. As for the uncorrected energy: -44.098 eV per atom.



# 12
VASP calculation (meta-GGA SCAN) on a PBEsol-optimized structure of YMg2Ir.

The space group is F-43m (No. 216) and the conventional cell measures 6.761, 6.761 and 6.761 Å, with angles of 90.00, 90.00 and 90.00 degrees. The distinct sites, in fractional coordinates, are Y at (0.000, 0.000, 0.000), Mg at (0.000, 0.000, 0.500), Mg at (0.250, 0.250, 0.250) and Ir at (0.250, 0.250, 0.750).

Its density of states at the Fermi level is 14.0 states/eV per cell. The volume is 19.3 A^3/atom. The energy of formation is -1.7 eV per formula unit. The spin magnetization is 0.00 μB per formula unit. As for the uncorrected energy: -27.651 eV per atom.



Q: Which of these has the highest volume?
A: MgTe2Ir



Q: spin magnetization of number 4 (Mg2TlIr)?
A: 0.00 μB per formula unit



Q: The lowest uncorrected energy belongs to which entry?
A: number 3



Q: What is the formula in the twelfth record?
A: YMg2Ir